1.
A relaxed LiCdTe2I crystal. Source: the Alexandria database, functional PBE.

abc: 5.5922 5.5922 6.2929
angles: 90.00 90.00 90.00
Fractional positions:
Cd (0.0000, 0.0000, 0.0000)
I (0.0000, 0.0000, 0.5000)
Te (0.0000, 0.5000, 0.0000)
Te (0.5000, 0.0000, 0.0000)
Li (0.5000, 0.5000, 0.5000)

Values from the calculation:
- energy relative to the lowest polymorph listed for this composition (eV per atom) = 0.0000
- formation energy without anion corrections (eV per atom) = 0.012
- ρ (g/cm3) = 4.2
- E (eV/atom) = -2.1202

---

2.
A relaxed SiPAuCl2 crystal. Source: the Alexandria database, functional PBE.

abc: 4.4717 4.4717 5.0963
angles: 90.00 90.00 90.00
Fractional positions:
Si (0.0000, 0.0000, 0.0000)
Au (0.5000, 0.5000, 0.5000)
P (0.0000, 0.0000, 0.5000)
Cl (0.0000, 0.5000, 0.0000)
Cl (0.5000, 0.0000, 0.0000)

Values from the calculation:
- energy relative to the lowest polymorph listed for this composition (eV per atom) = 0.0000
- formation energy without anion corrections (eV per atom) = 0.318
- ρ (g/cm3) = 5.3
- E (eV/atom) = -3.2426

---

3.
A relaxed LiPu2H6Ru crystal. Source: the Alexandria database, functional PBE.

abc: 5.2254 5.2405 5.2342
angles: 59.82 59.93 89.83
Last column: magnetic moment on the atom in μB.
Fractional positions:
H (0.7600, 0.7600, 0.4797)  -0.01
Pu (0.7498, 0.2500, 0.5004)  5.59
Ru (0.0000, 0.0000, 0.0000)  0.08
H (0.2394, 0.2395, 0.9999)  -0.01
H (0.2400, 0.2400, 0.5203)  -0.01
H (0.7606, 0.7605, 0.0001)  -0.01
H (0.2397, 0.7603, 0.9999)  -0.01
H (0.7603, 0.2397, 0.0001)  -0.01
Li (0.5000, 0.5000, 0.0000)  0.04
Pu (0.2502, 0.7500, 0.4996)  5.59

Values from the calculation:
- ρ (g/cm3) = 9.9
- E (eV/atom) = -6.2927